AcMg, PBEsol geometry, DFT meta-GGA SCAN; total magnetization = 0.00 Bohr magnetons per cell; E_form = -0.09 eV/atom; space-group type = No. 221
1.0
-2.549 -2.627 -1.742
1.466 -2.972 2.335
-2.790 0.838 2.819
Ac Mg
1 1
Direct
0.000 0.000 0.000
0.500 0.500 0.500



Cd2AgRh, PBEsol geometry, DFT meta-GGA SCAN; total magnetization = 0.00 Bohr magnetons per cell; E_form = -0.13 eV/atom; space-group type = No. 123
1.0
-3.005 2.329 0.378
-2.578 -3.284 -0.260
0.167 -0.459 4.156
Ag Cd Rh
1 2 1
Direct
0.500 0.500 0.125
0.000 0.500 0.625
0.000 0.000 0.125
0.500 0.000 0.625



Li2CuN, PBEsol geometry, DFT meta-GGA SCAN; total magnetization = 0.00 Bohr magnetons per cell; space-group type = No. 122; total DFT energy (no corrections) = -6.90 eV/atom
1.0
3.271 0.000 0.000
0.000 3.271 0.000
-1.636 -1.636 7.225
Li N Cu
4 2 2
Direct
0.125 0.556 0.750
0.625 0.194 0.750
0.806 0.875 0.250
0.444 0.375 0.250
0.750 0.250 0.500
0.500 0.500 0.000
0.000 0.000 0.000
0.250 0.750 0.500



Cs2LiTlBr6, PBEsol geometry, DFT meta-GGA SCAN; total magnetization = 0.00 Bohr magnetons per cell; space-group type = No. 225; total DFT energy (no corrections) = -28.10 eV/atom
1.0
-7.073 1.740 2.512
-5.836 -4.875 -1.241
-3.069 -3.913 5.885
Br Cs Tl Li
6 2 1 1
Direct
0.752 0.752 0.248
0.248 0.752 0.752
0.248 0.248 0.752
0.752 0.248 0.752
0.752 0.248 0.248
0.248 0.752 0.248
0.250 0.250 0.250
0.750 0.750 0.750
0.500 0.500 0.500
0.000 0.000 0.000



Na2TcF, PBEsol geometry, DFT meta-GGA SCAN; total magnetization = 7.88 Bohr magnetons per cell; space-group type = No. 122; total DFT energy (no corrections) = -11.97 eV/atom
1.0
6.065 0.037 0.058
-2.368 5.583 -0.058
-2.368 -2.468 5.009
Tc Na F
2 4 2
Direct
0.000 0.000 0.000
0.500 0.750 0.250
0.616 0.241 0.125
0.884 0.375 0.759
0.116 0.875 0.491
0.384 0.509 0.625
0.000 0.500 0.500
0.500 0.250 0.750



FeRu2, PBEsol geometry, DFT meta-GGA SCAN; total magnetization = 0.00 Bohr magnetons per cell; E_form = 0.21 eV/atom; space-group type = No. 12
1.0
2.630 0.000 0.000
-1.315 4.693 -0.001
0.000 -1.457 5.927
Ru Fe
4 2
Direct
0.636 0.273 0.531
0.364 0.727 0.469
0.312 0.624 0.865
0.688 0.376 0.135
0.029 0.059 0.809
0.971 0.941 0.191



TlSiTe, PBEsol geometry, DFT meta-GGA SCAN; total magnetization = 0.00 Bohr magnetons per cell; space-group type = No. 107; total DFT energy (no corrections) = -39.60 eV/atom
1.0
-0.863 1.146 -3.334
-3.369 -1.278 0.433
0.443 5.224 3.657
Tl Si Te
1 1 1
Direct
0.346 0.346 0.693
0.027 0.027 0.054
0.627 0.627 0.253



BaTc2Br, PBEsol geometry, DFT meta-GGA SCAN; total magnetization = 0.00 Bohr magnetons per cell; space-group type = No. 12; total DFT energy (no corrections) = -31.30 eV/atom
1.0
3.339 -0.003 0.000
-0.019 4.602 0.000
-1.660 -2.299 5.630
Br Ba Tc
1 1 2
Direct
0.500 0.500 0.000
0.000 0.000 0.000
0.500 0.500 0.500
0.000 0.000 0.500



Cu7Si2, PBEsol geometry, DFT meta-GGA SCAN; total magnetization = 0.00 Bohr magnetons per cell; space-group type = No. 164; total DFT energy (no corrections) = -14.09 eV/atom
1.0
-1.998 0.244 -3.479
-1.530 -2.122 3.052
-3.519 6.058 2.447
Cu Si
7 2
Direct
0.667 0.333 0.544
0.000 0.000 0.000
0.000 0.000 0.670
0.667 0.333 0.882
0.333 0.667 0.118
0.333 0.667 0.456
0.000 0.000 0.330
0.667 0.333 0.221
0.333 0.667 0.779



TlIn2Cu, PBEsol geometry, DFT meta-GGA SCAN; total magnetization = 0.00 Bohr magnetons per cell; E_form = 0.30 eV/atom; space-group type = No. 119
1.0
4.470 0.000 0.000
0.000 4.470 0.000
-2.235 -2.235 4.394
Cu Tl In
1 1 2
Direct
0.250 0.750 0.500
0.500 0.500 0.000
0.750 0.250 0.500
0.000 0.000 0.000



InGeP3, PBEsol geometry, DFT meta-GGA SCAN; total magnetization = 0.00 Bohr magnetons per cell; E_form = 1.36 eV/atom; space-group type = No. 221
1.0
-3.427 -0.705 3.475
3.313 -2.357 2.789
1.262 4.273 2.112
P Ge In
3 1 1
Direct
0.500 0.000 0.000
0.000 0.000 0.500
0.000 0.500 0.000
0.500 0.500 0.500
0.000 0.000 0.000



Li2PbCl, PBEsol geometry, DFT meta-GGA SCAN; total magnetization = 0.00 Bohr magnetons per cell; space-group type = No. 71; total DFT energy (no corrections) = -22.96 eV/atom
1.0
-0.928 3.080 0.393
-2.362 1.630 -4.987
-5.665 -0.129 0.998
Pb Cl Li
1 1 2
Direct
0.500 0.000 0.000
0.000 0.500 0.500
0.696 0.304 0.304
0.304 0.696 0.696



In2PtRh, PBEsol geometry, DFT meta-GGA SCAN; total magnetization = 0.00 Bohr magnetons per cell; E_form = -0.45 eV/atom; space-group type = No. 123
1.0
3.666 0.000 0.000
0.000 4.268 0.000
0.000 0.000 4.268
In Rh Pt
2 1 1
Direct
0.000 0.500 0.000
0.000 0.000 0.500
0.500 0.000 0.000
0.500 0.500 0.500



AsIr2Rh, PBEsol geometry, DFT meta-GGA SCAN; total magnetization = 0.00 Bohr magnetons per cell; E_form = 0.13 eV/atom; space-group type = No. 99
1.0
-2.283 -1.517 0.614
0.766 -0.060 2.701
-3.715 6.071 1.188
Rh Ir As
1 2 1
Direct
0.000 0.000 0.509
0.500 0.500 0.250
0.000 0.000 0.995
0.500 0.500 0.746



InOsO2F, PBEsol geometry, DFT meta-GGA SCAN; total magnetization = 4.11 Bohr magnetons per cell; space-group type = No. 123; total DFT energy (no corrections) = -24.26 eV/atom
1.0
4.074 0.000 0.000
0.000 4.136 0.000
0.000 0.000 4.136
O In F Os
2 1 1 1
Direct
0.000 0.000 0.500
0.000 0.500 0.000
0.000 0.000 0.000
0.500 0.000 0.000
0.500 0.500 0.500



SrTePb2, PBEsol geometry, DFT meta-GGA SCAN; total magnetization = 0.00 Bohr magnetons per cell; space-group type = No. 99; total DFT energy (no corrections) = -53.47 eV/atom
1.0
-1.427 4.012 -1.116
-1.279 -1.545 -3.919
-6.199 -1.479 2.606
Pb Te Sr
2 1 1
Direct
0.500 0.500 0.215
0.000 0.000 0.058
0.500 0.500 0.669
0.000 0.000 0.558



TcNi2P, PBEsol geometry, DFT meta-GGA SCAN; total magnetization = 0.00 Bohr magnetons per cell; E_form = -0.06 eV/atom; space-group type = No. 8
1.0
-1.014 1.192 -2.086
0.649 -3.986 -0.964
-4.136 -0.225 1.881
Tc P Ni
1 1 2
Direct
0.756 0.511 0.255
0.506 0.012 0.535
0.242 0.483 0.745
0.997 0.993 0.966



Ca2AlHg, PBEsol geometry, DFT meta-GGA SCAN; total magnetization = 0.00 Bohr magnetons per cell; E_form = -0.40 eV/atom; space-group type = No. 8
1.0
3.564 0.000 0.000
0.000 5.251 -0.233
-1.782 -2.335 5.571
Ca Al Hg
2 1 1
Direct
0.979 0.977 0.958
0.778 0.280 0.556
0.218 0.722 0.436
0.525 0.521 0.050



ZnSn3Pd, PBEsol geometry, DFT meta-GGA SCAN; total magnetization = 0.00 Bohr magnetons per cell; E_form = 0.63 eV/atom; space-group type = No. 221
1.0
5.019 0.000 0.000
0.000 5.019 0.000
0.000 0.000 5.019
Sn Zn Pd
3 1 1
Direct
0.500 0.000 0.000
0.000 0.000 0.500
0.000 0.500 0.000
0.000 0.000 0.000
0.500 0.500 0.500



MgFePt2, PBEsol geometry, DFT meta-GGA SCAN; total magnetization = 3.74 Bohr magnetons per cell; E_form = -0.69 eV/atom; space-group type = No. 65
1.0
-2.355 1.118 -1.038
-2.201 -3.943 0.747
-0.621 2.315 3.900
Fe Mg Pt
1 1 2
Direct
0.500 0.000 0.000
0.500 0.500 0.500
0.000 0.500 0.000
0.000 0.000 0.500



AlCr, PBEsol geometry, DFT meta-GGA SCAN; total magnetization = 1.24 Bohr magnetons per cell; E_form = -0.12 eV/atom; space-group type = No. 74
1.0
3.028 0.000 0.000
0.000 4.163 0.000
-1.514 -2.081 4.075
Cr Al
2 2
Direct
0.352 0.102 0.704
0.648 0.898 0.296
0.888 0.638 0.775
0.112 0.362 0.225



KIn3Ru, PBEsol geometry, DFT meta-GGA SCAN; total magnetization = 0.00 Bohr magnetons per cell; E_form = -0.25 eV/atom; space-group type = No. 221
1.0
5.148 0.000 0.000
0.000 5.148 0.000
0.000 0.000 5.148
In Ru K
3 1 1
Direct
0.000 0.500 0.000
0.000 0.000 0.500
0.500 0.000 0.000
0.000 0.000 0.000
0.500 0.500 0.500



Na5V2PC4O16, PBEsol geometry, DFT meta-GGA SCAN; total magnetization = 7.84 Bohr magnetons per cell; space-group type = No. 43; total DFT energy (no corrections) = -9.37 eV/atom
1.0
-3.763 -7.916 4.212
8.583 -1.799 4.203
-4.326 8.734 1.366
C Na O P V
8 10 32 2 4
Direct
0.206 0.883 0.411
0.787 0.610 0.573
0.778 0.955 0.911
0.205 0.528 0.411
0.213 0.537 0.073
0.787 0.963 0.573
0.133 0.956 0.911
0.860 0.537 0.073
0.413 0.321 0.261
0.848 0.940 0.261
0.583 0.583 0.166
0.574 0.596 0.761
0.833 0.333 0.666
0.846 0.324 0.261
0.190 0.598 0.761
0.415 0.937 0.261
0.571 0.163 0.761
0.187 0.165 0.761
0.357 0.652 0.216
0.098 0.566 0.960
0.861 0.393 0.960
0.135 0.101 0.025
0.351 0.885 0.525
0.092 0.887 0.444
0.890 0.924 0.025
0.902 0.607 0.544
0.636 0.841 0.767
0.187 0.391 0.044
0.573 0.207 0.147
0.574 0.940 0.147
0.829 0.199 0.397
0.174 0.640 0.525
0.176 0.880 0.267
0.859 0.563 0.216
0.449 0.579 0.897
0.568 0.198 0.397
0.190 0.324 0.647
0.353 0.557 0.444
0.643 0.611 0.460
0.641 0.937 0.544
0.857 0.652 0.044
0.902 0.107 0.716
0.816 0.848 0.460
0.457 0.323 0.647
0.807 0.103 0.944
0.448 0.318 0.897
0.091 0.386 0.267
0.813 0.609 0.716
0.130 0.926 0.767
0.137 0.842 0.944
0.383 0.383 0.766
0.633 0.133 0.266
0.000 0.747 0.495
0.495 0.748 0.495
0.998 0.245 0.995
0.997 0.750 0.995



Li3V2O4F4, PBEsol geometry, DFT meta-GGA SCAN; total magnetization = 1.00 Bohr magnetons per cell; space-group type = No. 6; total DFT energy (no corrections) = -9.09 eV/atom
1.0
3.497 0.000 0.000
0.000 6.329 0.012
0.000 -2.661 6.503
O F V Li
4 4 2 3
Direct
0.000 0.069 0.116
0.500 0.273 0.442
0.500 0.892 0.852
0.000 0.683 0.528
0.500 0.827 0.225
0.500 0.382 0.121
0.000 0.128 0.727
0.000 0.584 0.856
0.500 0.117 0.194
0.000 0.859 0.772
0.000 0.329 0.595
0.500 0.572 0.974
0.500 0.636 0.374



RbGeAs3, PBEsol geometry, DFT meta-GGA SCAN; total magnetization = 0.00 Bohr magnetons per cell; E_form = 0.38 eV/atom; space-group type = No. 221
1.0
5.071 0.000 0.000
0.000 5.071 0.000
0.000 0.000 5.071
As Ge Rb
3 1 1
Direct
0.000 0.500 0.000
0.500 0.000 0.000
0.000 0.000 0.500
0.000 0.000 0.000
0.500 0.500 0.500